[1]
This record from the Alexandria database describes a relaxed structure of La2CoSi3Pt12. The functional is PBE-GGA.

Computed properties:
Its magnetization is 2.0 μB per cell. The uncorrected formation energy is -0.474 eV per atom. The value obtained for the total energy is -6.347 eV per atom.

Lattice parameters (Å, degrees): 7.7917 7.7917 7.7917 63.09 63.09 63.09
Closest atoms and distances in Å follow each position.
Element x y z (fractional)
Si (0.5000, 0.0000, 0.0000)  6 Pt 2.32-2.37
Co (0.0000, 0.0000, 0.0000)  6 Pt 2.43
Pt (0.6427, 0.1066, 0.6427)  2 Si 2.37
Pt (0.1066, 0.6427, 0.6427)  2 Si 2.37
La (0.3791, 0.3791, 0.3791)  6 Pt 2.91-2.98
Pt (0.8787, 0.3685, 0.8787)  1 Si 2.32, 1 Co 2.43
Pt (0.3573, 0.3573, 0.8934)  2 Si 2.37
Si (0.0000, 0.5000, 0.0000)  6 Pt 2.32-2.37
Si (0.0000, 0.0000, 0.5000)  6 Pt 2.32-2.37
Pt (0.8787, 0.8787, 0.3685)  1 Si 2.32, 1 Co 2.43
Pt (0.6427, 0.6427, 0.1066)  2 Si 2.37
Pt (0.3573, 0.8934, 0.3573)  2 Si 2.37
Pt (0.6315, 0.1213, 0.1213)  1 Si 2.32, 1 Co 2.43
Pt (0.1213, 0.6315, 0.1213)  1 Si 2.32, 1 Co 2.43
Pt (0.1213, 0.1213, 0.6315)  1 Si 2.32, 1 Co 2.43
Pt (0.8934, 0.3573, 0.3573)  2 Si 2.37
La (0.6209, 0.6209, 0.6209)  6 Pt 2.91-2.98
Pt (0.3685, 0.8787, 0.8787)  1 Si 2.32, 1 Co 2.43

=====

[2]
This record from the Alexandria database describes a relaxed structure of La2CoSi4Pt3. The functional is PBE-GGA.

Computed properties:
Its magnetization is 1.0 μB per cell. The uncorrected formation energy is -1.028 eV per atom. The value obtained for the total energy is -6.706 eV per atom.

Lattice parameters (Å, degrees): 4.2469 4.2469 9.9564 90.00 90.00 90.00
Closest atoms and distances in Å follow each position.
Element x y z (fractional)
Si (0.0000, 0.5000, 0.3761)  3 Pt 2.46-2.51, 2 Co 2.46
Pt (0.0000, 0.0000, 0.5000)  4 Si 2.46
Si (0.5000, 0.5000, 0.0000)  4 Pt 2.46
Si (0.0000, 0.0000, 0.0000)  4 Pt 2.46
La (0.0000, 0.5000, 0.7510)  6 Pt 3.25-3.28, 8 Si 3.26, 2 Co 3.28
La (0.5000, 0.0000, 0.2490)  6 Pt 3.25-3.28, 8 Si 3.26, 2 Co 3.28
Co (0.5000, 0.5000, 0.5000)  4 Si 2.46
Pt (0.5000, 0.0000, 0.8759)  5 Si 2.46-2.51
Pt (0.0000, 0.5000, 0.1241)  5 Si 2.46-2.51
Si (0.5000, 0.0000, 0.6239)  3 Pt 2.46-2.51, 2 Co 2.46

=====

[3]
This record from the Alexandria database describes a relaxed structure of LaSmCoPt. The functional is PBE-GGA.

Computed properties:
The energy of formation from the pure elements is -509.0 meV/atom. Its magnetization is 0.0 μB per cell. The value obtained for the total energy is -6.207 eV per atom.

Lattice parameters (Å, degrees): 5.0143 5.0143 5.0143 60.00 60.00 60.00
Closest atoms and distances in Å follow each position.
Element x y z (fractional)
Sm (0.0000, 0.0000, 0.0000)  4 Pt 3.07, 4 Co 3.07
Pt (0.7500, 0.7500, 0.7500)  4 La 3.07, 4 Sm 3.07
Co (0.2500, 0.2500, 0.2500)  4 Sm 3.07, 4 La 3.07
La (0.5000, 0.5000, 0.5000)  4 Co 3.07, 4 Pt 3.07

=====

[4]
This record from the Alexandria database describes a relaxed structure of LaTbCoPt. The functional is PBE-GGA.

Computed properties:
The energy of formation from the pure elements is -543.7 meV/atom. Its magnetization is 0.0 μB per cell. The value obtained for the total energy is -6.220 eV per atom.

Lattice parameters (Å, degrees): 4.9761 4.9761 4.9761 60.00 60.00 60.00
Closest atoms and distances in Å follow each position.
Element x y z (fractional)
Tb (0.0000, 0.0000, 0.0000)  4 Pt 3.05, 4 Co 3.05
La (0.5000, 0.5000, 0.5000)  4 Co 3.05, 4 Pt 3.05
Co (0.2500, 0.2500, 0.2500)  4 Tb 3.05, 4 La 3.05
Pt (0.7500, 0.7500, 0.7500)  4 Tb 3.05, 4 La 3.05